A relaxed Na2ZrInSe5 crystal, computed with GGA-PBE.

Geometry as POSCAR:
```
Na2ZrInSe5
1.0
3.8182 0.0000 0.0000
-1.9091 9.0207 0.0000
0.0000 0.0000 14.1610
Se Zr Na In
10 2 4 2
direct
0.7078 0.4156 0.9004
0.3691 0.7382 0.9953
0.4979 0.9959 0.7669
0.2714 0.5429 0.6708
0.5021 0.0041 0.2669
0.6309 0.2618 0.4953
0.7286 0.4571 0.1708
0.9335 0.8671 0.5542
0.2922 0.5844 0.4004
0.0665 0.1329 0.0542
0.2298 0.4596 0.0389
0.7702 0.5404 0.5389
0.8671 0.7341 0.8139
0.9039 0.8079 0.1550
0.0961 0.1921 0.6550
0.1329 0.2659 0.3139
0.4403 0.8806 0.4285
0.5597 0.1194 0.9285
```

Values from the calculation:
* raw formation energy: -0.906 eV/atom
* magnetization: 0.0 μB/f.u.
* E_tot: -0.32258 Ry per atom
* Fermi-level density of states: 12.8 states/eV per cell